Record 1
First-principles (GGA-PBE) data for a geometry-optimized TbSm2Pa2Ru5 structure, as listed in Alexandria via LeMat-Bulk.

Unit cell a=10.7089 b=10.7089 c=3.6957 alpha=90.00 beta=90.00 gamma=90.00
Last column: nearest neighbours and their distance in Å.
Space group P4/mbm (No. 127)
One atom of each set of equivalent atoms:
Tb (0.0000, 0.0000, 0.0000) (multiplicity 2)  8 Ru 2.97
Sm (0.1741, 0.3259, 0.0000) (multiplicity 4)  1 Pa 2.91, 2 Ru 3.22
Pa (0.1336, 0.6336, 0.0000) (multiplicity 4)  6 Ru 2.63-2.74, 1 Sm 2.91
Ru (0.0000, 0.5000, 0.5000) (multiplicity 2)  4 Pa 2.74
Ru (0.0534, 0.7894, 0.5000) (multiplicity 8)  2 Pa 2.63

Results
Raw total energy   -8.229 eV/atom
Total magnetic moment   0.00 μB/f.u.

Record 2
First-principles (GGA-PBE) data for a geometry-optimized SmPaTcRu structure, as listed in Alexandria via LeMat-Bulk.

Unit cell a=6.9183 b=6.9183 c=6.9183 alpha=90.00 beta=90.00 gamma=90.00
Last column: nearest neighbours and their distance in Å.
Space group F-43m (No. 216)
One atom of each set of equivalent atoms:
Sm (0.0000, 0.0000, 0.0000) (multiplicity 4)  4 Tc 3.00, 4 Ru 3.00
Pa (0.0000, 0.0000, 0.5000) (multiplicity 4)  4 Tc 3.00, 4 Ru 3.00
Tc (0.2500, 0.2500, 0.2500) (multiplicity 4)  4 Pa 3.00, 4 Sm 3.00
Ru (0.2500, 0.2500, 0.7500) (multiplicity 4)  4 Pa 3.00, 4 Sm 3.00

Results
Raw total energy   -8.622 eV/atom
Total magnetic moment   0.00 μB/f.u.

Which calculated density belongs to each record? In order, 11.182 11.644 g/cm3.